The following is a DFT calculation (GGA-PBE) of crystalline HfTe2BrN at its relaxed geometry.

abc: 5.660 5.660 3.680
angles: 90.00 90.00 90.00
Element x y z (fractional)
1 Hf 0.000 0.000 0.000
2 Te 0.000 0.500 0.500
3 Te 0.500 0.000 0.500
4 Br 0.500 0.500 0.500
5 N 0.500 0.500 0.000

Values from the calculation:
E_form (uncorrected) in eV per atom: 1.28
Spin magnetization in μB per cell: 0.0
Uncorrected energy in eV/atom: -3.964